DFT (PBE) results for a relaxed YZnSn crystal.

a = 3.1989 Å, b = 3.1989 Å, c = 15.8685 Å
α = 90.00°, β = 90.00°, γ = 90.00°
Closest atoms and distances in Å follow each position.
Space group I4mm (No. 107)
Inequivalent atoms, fractional coordinates:
1 Y 0.0000 0.0000 0.0000 [2 per cell]  1 Sn 3.10, 4 Zn 3.11, 4 Y 3.20
2 Zn 0.0000 0.0000 0.6343 [2 per cell]  1 Sn 2.70
3 Sn 0.0000 0.0000 0.8046 [2 per cell]  1 Zn 2.70

Output
Calculated total energy   -3.8020 eV/atom

=====

DFT (PBE) results for a relaxed La2Ho8Tm crystal.

a = 18.1743 Å, b = 5.0457 Å, c = 7.9673 Å
α = 90.00°, β = 105.28°, γ = 90.00°
Closest atoms and distances in Å follow each position.
Space group C2/m (No. 12)
Inequivalent atoms, fractional coordinates:
1 La 0.2268 0.0000 0.1371 [4 per cell]  10 Ho 3.56-3.63, 2 La 3.58
2 Ho 0.0434 0.0000 0.2282 [4 per cell]  9 Ho 3.50-3.58, 2 Tm 3.55, 1 La 3.59
3 Ho 0.0887 0.5000 0.9522 [4 per cell]  8 Ho 3.50-3.59, 1 Tm 3.54, 3 La 3.59-3.61
4 Ho 0.1341 0.0000 0.6746 [4 per cell]  7 Ho 3.50-3.60, 2 Tm 3.53, 3 La 3.61-3.63
5 Ho 0.1802 0.5000 0.4067 [4 per cell]  1 Tm 3.54, 8 Ho 3.54-3.61, 3 La 3.56-3.58
6 Tm 0.0000 0.5000 0.5000 [2 per cell]  12 Ho 3.53-3.55

Output
Calculated total energy   -4.5999 eV/atom